Record 1
Ta5Ga3B at its PBEsol-relaxed geometry, computed with SCAN.

* density of states at the Fermi level: 0.30 states/eV/atom
* E: -43.745 eV per atom

Lattice parameters (Å, degrees): 5.282 7.700 7.700 120.00 90.00 90.00
Fractional coordinates of all 18 atoms:
Ta 0.250 0.000 0.757
Ta 0.750 0.000 0.243
Ta 0.250 0.757 0.000
Ta 0.750 0.243 0.000
Ta 0.250 0.243 0.243
Ta 0.750 0.757 0.757
Ta 0.500 0.333 0.667
Ta 0.500 0.667 0.333
Ta 0.000 0.667 0.333
Ta 0.000 0.333 0.667
Ga 0.250 0.000 0.401
Ga 0.750 0.000 0.599
Ga 0.250 0.401 0.000
Ga 0.750 0.599 0.000
Ga 0.250 0.599 0.599
Ga 0.750 0.401 0.401
B 0.500 0.000 0.000
B 0.000 0.000 0.000



Record 2
AgIrAuO2 at its PBEsol-relaxed geometry, computed with SCAN.

* density of states at the Fermi level: 0.58 states/eV/atom
* E_form (uncorrected): -0.07 eV/atom

Lattice parameters (Å, degrees): 3.714 3.714 5.916 90.00 90.00 90.00
Fractional coordinates of all 5 atoms:
Ir 0.000 0.000 0.000
Au 0.500 0.500 0.500
O 0.000 0.500 0.000
O 0.500 0.000 0.000
Ag 0.000 0.000 0.500



Record 3
Ta2Fe2Au at its PBEsol-relaxed geometry, computed with SCAN.

* density of states at the Fermi level: 0.51 states/eV/atom
* E: -47.759 eV per atom

Lattice parameters (Å, degrees): 2.962 6.948 6.948 90.00 90.00 90.00
Fractional coordinates of all 10 atoms:
Au 0.000 0.000 0.000
Au 0.000 0.500 0.500
Fe 0.000 0.365 0.865
Fe 0.000 0.865 0.635
Fe 0.000 0.635 0.135
Fe 0.000 0.135 0.365
Ta 0.500 0.162 0.662
Ta 0.500 0.662 0.838
Ta 0.500 0.838 0.338
Ta 0.500 0.338 0.162